Sm3Mg2Ag | the Alexandria database | PBE | relaxed; crystal system = tetragonal; calculated formation energy = -0.16 eV per atom
1.0
-0.270 -2.558 2.812
-2.804 -1.770 -1.879
7.607 -6.526 -5.205
Sm Mg Ag
3 2 1
Direct
0.000 0.000 0.000 Sm
0.000 0.000 0.660 Sm
0.000 0.000 0.340 Sm
0.500 0.500 0.833 Mg
0.500 0.500 0.167 Mg
0.500 0.500 0.500 Ag